Compound: La2CrBr
Source: Alexandria via LeMat-Bulk
Functional: PBE
Structure: relaxed

Output
ΔE_f (raw): 4 meV/atom
Total energy: -21.14 eV/cell
Energy above the lowest structure with this stoichiometry: 346 meV per atom
Theoretical density: 5.53 g/cm³

```
La2CrBr
1.0
1.994 -3.090 0.000
1.994 3.090 0.000
0.000 0.000 9.978
La Cr Br
2 1 1
Direct
0.000 0.000 0.000
0.500 0.500 0.292
0.000 0.000 0.542
0.500 0.500 0.762
```